(1)
{
  "formula": "YMo3",
  "functional": "PBE-GGA",
  "state": "relaxed",
  "lattice_angstrom": [[4.892, 0.000, 0.000], [0.000, 4.892, 0.000], [0.000, 0.000, 4.892]],
  "species": ["Y", "Mo", "Mo", "Mo"],
  "frac_coords": [[0.000, 0.000, 0.000], [0.000, 0.000, 0.500], [0.000, 0.500, 0.000], [0.500, 0.000, 0.000]],
  "magmom_total_mub_per_cell": 0.6,
  "de_polymorph_kj_per_mol_atoms": 330.7,
  "density_g_cm3": 5.344,
  "formation_enthalpy_0k_kj_per_mol_fu": 1420.9
}

(2)
{
  "formula": "Tl2FeIr",
  "functional": "PBE-GGA",
  "state": "relaxed",
  "lattice_angstrom": [[3.987, 0.000, 0.000], [0.000, 4.060, 0.000], [-1.970, 0.000, 5.056]],
  "species": ["Tl", "Tl", "Fe", "Ir"],
  "frac_coords": [[0.000, 0.000, 0.000], [0.298, 0.500, 0.602], [0.582, 0.500, 0.166], [0.712, 0.000, 0.428]],
  "magmom_total_mub_per_cell": 3.0,
  "de_polymorph_kj_per_mol_atoms": 12.6,
  "density_g_cm3": 13.330,
  "formation_enthalpy_0k_kj_per_mol_fu": 186.7
}

(3)
{
  "formula": "YZnPO",
  "functional": "PBE-GGA",
  "state": "relaxed",
  "lattice_angstrom": [[1.954, 1.128, 10.158], [-1.954, 1.128, 10.158], [0.000, -2.256, 10.158]],
  "species": ["Y", "Y", "Zn", "Zn", "P", "P", "O", "O"],
  "frac_coords": [[0.120, 0.120, 0.120], [0.880, 0.880, 0.880], [0.304, 0.304, 0.304], [0.696, 0.696, 0.696], [0.388, 0.388, 0.388], [0.612, 0.612, 0.612], [0.195, 0.195, 0.195], [0.805, 0.805, 0.805]],
  "energy_ev_per_atom": -6.38,
  "magmom_total_mub_per_cell": 0.0,
  "density_g_cm3": 4.975
}

(4)
{
  "formula": "PmEr2Th3Se6",
  "functional": "PBE-GGA",
  "state": "relaxed",
  "lattice_angstrom": [[3.498, -6.023, 0.000], [3.498, 6.023, 0.000], [-2.307, 0.000, 7.183]],
  "species": ["Pm", "Er", "Er", "Th", "Th", "Th", "Se", "Se", "Se", "Se", "Se", "Se"],
  "frac_coords": [[0.000, 0.000, 0.000], [0.332, 0.668, 0.000], [0.668, 0.332, 0.000], [0.162, 0.838, 0.500], [0.500, 0.500, 0.500], [0.838, 0.162, 0.500], [0.079, 0.421, 0.237], [0.266, 0.266, 0.770], [0.421, 0.079, 0.237], [0.579, 0.921, 0.763], [0.734, 0.734, 0.230], [0.921, 0.579, 0.763]],
  "energy_ev_per_atom": -6.38,
  "magmom_total_mub_per_cell": 0.0,
  "density_g_cm3": 9.049
}

(5)
{
  "formula": "MnIn2PdS",
  "functional": "PBE-GGA",
  "state": "relaxed",
  "lattice_angstrom": [[5.047, 0.000, 0.000], [0.000, 5.047, 0.000], [0.000, 0.000, 4.506]],
  "species": ["Mn", "In", "In", "Pd", "S"],
  "frac_coords": [[0.000, 0.000, 0.000], [0.000, 0.500, 0.000], [0.500, 0.000, 0.000], [0.000, 0.000, 0.500], [0.500, 0.500, 0.500]],
  "energy_ev_per_atom": -4.07,
  "magmom_total_mub_per_cell": 0.0,
  "density_g_cm3": 6.120
}

(6)
{
  "formula": "CdCu2Cl",
  "functional": "PBE-GGA",
  "state": "relaxed",
  "lattice_angstrom": [[-1.805, 1.805, 5.785], [1.805, -1.805, 5.785], [1.805, 1.805, -5.785]],
  "species": ["Cd", "Cu", "Cu", "Cl"],
  "frac_coords": [[0.000, 0.000, 0.000], [0.500, 0.500, 0.000], [0.750, 0.250, 0.500], [0.250, 0.750, 0.500]],
  "magmom_total_mub_per_cell": 0.0,
  "de_polymorph_kj_per_mol_atoms": 23.3,
  "density_g_cm3": 6.055
}

(7)
{
  "formula": "CoTe2HI",
  "functional": "PBE-GGA",
  "state": "relaxed",
  "lattice_angstrom": [[4.954, 0.000, 0.000], [0.000, 4.954, 0.000], [0.000, 0.000, 5.690]],
  "species": ["Co", "Te", "Te", "H", "I"],
  "frac_coords": [[0.000, 0.000, 0.000], [0.000, 0.500, 0.000], [0.500, 0.000, 0.000], [0.500, 0.500, 0.500], [0.000, 0.000, 0.500]],
  "magmom_total_mub_per_cell": 2.2,
  "de_polymorph_kj_per_mol_atoms": 0.5,
  "density_g_cm3": 5.256
}

(8)
{
  "formula": "NiPt2Se",
  "functional": "PBE-GGA",
  "state": "relaxed",
  "lattice_angstrom": [[2.648, -4.470, 0.000], [2.648, 4.470, 0.000], [-2.617, 0.000, 2.719]],
  "species": ["Ni", "Pt", "Pt", "Se"],
  "frac_coords": [[0.000, 0.000, 0.000], [0.000, 0.500, 0.500], [0.500, 0.000, 0.500], [0.500, 0.500, 0.000]],
  "energy_ev_per_atom": -5.24,
  "magmom_total_mub_per_cell": 0.0,
  "density_g_cm3": 13.617
}

(9)
{
  "formula": "Fe2AgHg",
  "functional": "PBE-GGA",
  "state": "relaxed",
  "lattice_angstrom": [[1.426, 0.823, 9.204], [-1.426, 0.823, 9.204], [0.000, -1.646, 9.204]],
  "species": ["Fe", "Fe", "Ag", "Hg"],
  "frac_coords": [[0.248, 0.248, 0.248], [0.752, 0.752, 0.752], [0.500, 0.500, 0.500], [0.000, 0.000, 0.000]],
  "magmom_total_mub_per_cell": 5.6,
  "density_g_cm3": 10.765,
  "formation_enthalpy_0k_kj_per_mol_fu": 200.5
}

(10)
{
  "formula": "LiGa2Sn",
  "functional": "PBE-GGA",
  "state": "relaxed",
  "lattice_angstrom": [[3.746, 0.000, 0.000], [0.000, 3.746, 0.000], [0.000, 0.000, 5.763]],
  "species": ["Li", "Ga", "Ga", "Sn"],
  "frac_coords": [[0.000, 0.000, 0.000], [0.500, 0.500, 0.240], [0.500, 0.500, 0.760], [0.000, 0.000, 0.500]],
  "magmom_total_mub_per_cell": 0.0,
  "density_g_cm3": 5.444,
  "formation_enthalpy_0k_kj_per_mol_fu": -42.0
}

(11)
{
  "formula": "K2SrIn",
  "functional": "PBE-GGA",
  "state": "relaxed",
  "lattice_angstrom": [[2.089, 1.206, 13.399], [-2.089, 1.206, 13.399], [0.000, -2.412, 13.399]],
  "species": ["K", "K", "Sr", "In"],
  "frac_coords": [[0.237, 0.237, 0.237], [0.763, 0.763, 0.763], [0.000, 0.000, 0.000], [0.500, 0.500, 0.500]],
  "magmom_total_mub_per_cell": 0.0,
  "density_g_cm3": 2.300,
  "formation_enthalpy_0k_kj_per_mol_fu": 48.3
}

(12)
{
  "formula": "Li4H7Pd",
  "functional": "PBE-GGA",
  "state": "relaxed",
  "lattice_angstrom": [[5.009, -1.757, 0.000], [5.009, 1.757, 0.000], [-2.080, 0.000, 6.093]],
  "species": ["Li", "Li", "Li", "Li", "H", "H", "H", "H", "H", "H", "H", "Pd"],
  "frac_coords": [[0.025, 0.025, 0.208], [0.246, 0.246, 0.824], [0.754, 0.754, 0.176], [0.975, 0.975, 0.792], [0.000, 0.000, 0.500], [0.144, 0.144, 0.042], [0.378, 0.378, 0.625], [0.380, 0.380, 0.254], [0.620, 0.620, 0.746], [0.622, 0.622, 0.375], [0.856, 0.856, 0.958], [0.500, 0.500, 0.500]],
  "energy_ev_per_atom": -3.31,
  "magmom_total_mub_per_cell": 0.0,
  "density_g_cm3": 2.187
}

(13)
{
  "formula": "Hg2RhN",
  "functional": "PBE-GGA",
  "state": "relaxed",
  "lattice_angstrom": [[-3.596, 3.596, 2.589], [3.596, -3.596, 2.589], [3.596, 3.596, -2.589]],
  "species": ["Hg", "Hg", "Hg", "Hg", "Rh", "Rh", "N", "N"],
  "frac_coords": [[0.064, 0.625, 0.939], [0.375, 0.314, 0.439], [0.686, 0.125, 0.061], [0.875, 0.936, 0.561], [0.250, 0.750, 0.500], [0.500, 0.500, 0.000], [0.000, 0.000, 0.000], [0.750, 0.250, 0.500]],
  "energy_ev_per_atom": -3.00,
  "magmom_total_mub_per_cell": 0.0,
  "density_g_cm3": 12.847
}

(14)
{
  "formula": "Ac2Pr3Cd2",
  "functional": "PBE-GGA",
  "state": "relaxed",
  "lattice_angstrom": [[4.999, -2.881, 0.000], [4.999, 2.881, 0.000], [-3.324, 0.000, 8.509]],
  "species": ["Ac", "Ac", "Pr", "Pr", "Pr", "Cd", "Cd"],
  "frac_coords": [[0.076, 0.076, 0.228], [0.924, 0.924, 0.772], [0.341, 0.341, 0.024], [0.500, 0.500, 0.500], [0.659, 0.659, 0.976], [0.212, 0.212, 0.636], [0.788, 0.788, 0.364]],
  "magmom_total_mub_per_cell": 0.0,
  "de_polymorph_kj_per_mol_atoms": 0.0,
  "density_g_cm3": 7.463,
  "formation_enthalpy_0k_kj_per_mol_fu": -91.4
}

(15)
{
  "formula": "ZrBi3Cl",
  "functional": "PBE-GGA",
  "state": "relaxed",
  "lattice_angstrom": [[5.394, 0.000, 0.000], [0.000, 5.394, 0.000], [0.000, 0.000, 5.394]],
  "species": ["Zr", "Bi", "Bi", "Bi", "Cl"],
  "frac_coords": [[0.000, 0.000, 0.000], [0.000, 0.500, 0.500], [0.500, 0.000, 0.500], [0.500, 0.500, 0.000], [0.500, 0.500, 0.500]],
  "magmom_total_mub_per_cell": 0.0,
  "de_polymorph_kj_per_mol_atoms": 54.7,
  "density_g_cm3": 7.973
}

(16)
{
  "formula": "CaPaS4",
  "functional": "PBE-GGA",
  "state": "relaxed",
  "lattice_angstrom": [[4.453, -4.566, 0.000], [4.453, 4.566, 0.000], [0.000, 0.000, 4.174]],
  "species": ["Ca", "Pa", "S", "S", "S", "S"],
  "frac_coords": [[0.000, 0.000, 0.000], [0.500, 0.500, 0.500], [0.212, 0.212, 0.500], [0.315, 0.685, 0.000], [0.685, 0.315, 0.000], [0.788, 0.788, 0.500]],
  "magmom_total_mub_per_cell": 0.0,
  "de_polymorph_kj_per_mol_atoms": 10.3,
  "density_g_cm3": 3.908
}

(17)
{
  "formula": "Th2TlOs",
  "functional": "PBE-GGA",
  "state": "relaxed",
  "lattice_angstrom": [[3.574, -2.060, 0.000], [3.574, 2.060, 0.000], [-2.371, 0.000, 8.224]],
  "species": ["Th", "Th", "Tl", "Os"],
  "frac_coords": [[0.229, 0.229, 0.187], [0.771, 0.771, 0.813], [0.000, 0.000, 0.500], [0.500, 0.500, 0.000]],
  "magmom_total_mub_per_cell": 0.0,
  "de_polymorph_kj_per_mol_atoms": 0.0,
  "density_g_cm3": 11.774,
  "formation_enthalpy_0k_kj_per_mol_fu": -97.2
}

(18)
{
  "formula": "TbYTlCu",
  "functional": "PBE-GGA",
  "state": "relaxed",
  "lattice_angstrom": [[0.000, 3.673, 3.673], [3.673, 0.000, 3.673], [3.673, 3.673, 0.000]],
  "species": ["Tb", "Y", "Tl", "Cu"],
  "frac_coords": [[0.000, 0.000, 0.000], [0.500, 0.500, 0.500], [0.750, 0.750, 0.750], [0.250, 0.250, 0.250]],
  "magmom_total_mub_per_cell": 0.0,
  "density_g_cm3": 8.638,
  "formation_enthalpy_0k_kj_per_mol_fu": -100.0
}

(19)
{
  "formula": "AcPrPd10",
  "functional": "PBE-GGA",
  "state": "relaxed",
  "lattice_angstrom": [[4.502, 0.000, 0.000], [0.000, 5.423, 0.000], [0.000, 0.000, 9.393]],
  "species": ["Ac", "Pr", "Pd", "Pd", "Pd", "Pd", "Pd", "Pd", "Pd", "Pd", "Pd", "Pd"],
  "frac_coords": [[0.000, 0.000, 0.000], [0.000, 0.500, 0.500], [0.000, 0.000, 0.338], [0.000, 0.000, 0.662], [0.000, 0.500, 0.172], [0.000, 0.500, 0.828], [0.500, 0.000, 0.500], [0.500, 0.251, 0.252], [0.500, 0.251, 0.748], [0.500, 0.500, 0.000], [0.500, 0.749, 0.252], [0.500, 0.749, 0.748]],
  "magmom_total_mub_per_cell": 0.0,
  "density_g_cm3": 10.369,
  "formation_enthalpy_0k_kj_per_mol_fu": -637.5
}

(20)
{
  "formula": "Th4Sn2C",
  "functional": "PBE-GGA",
  "state": "relaxed",
  "lattice_angstrom": [[-2.480, 2.480, 8.296], [2.480, -2.480, 8.296], [2.480, 2.480, -8.296]],
  "species": ["Th", "Th", "Th", "Th", "Sn", "Sn", "C"],
  "frac_coords": [[0.000, 0.500, 0.500], [0.159, 0.159, 0.000], [0.500, 0.000, 0.500], [0.841, 0.841, 0.000], [0.358, 0.358, 0.000], [0.642, 0.642, 0.000], [0.000, 0.000, 0.000]],
  "magmom_total_mub_per_cell": 0.0,
  "de_polymorph_kj_per_mol_atoms": 0.0,
  "density_g_cm3": 9.578,
  "formation_enthalpy_0k_kj_per_mol_fu": -255.1
}